# KOs2Rh, single point on PBEsol structure, DFT SCAN
# * energy relative to the elements: 1.305 eV/atom
# * N(E_F): 4.2 states/eV/f.u.
# * symmetry: C2/m
# * energy above the most stable polymorph in this dataset: 628 meV/atom
# * M_tot: 0.93 μB per formula unit
data_KOs2Rh
_chemical_formula_sum 'K1 Os2 Rh1'
_symmetry_space_group_name_H-M 'P 1'
_symmetry_Int_Tables_number 1
_symmetry_space_group_name_Hall 'P 1'
_cell_length_a 2.5843
_cell_length_b 4.9242
_cell_length_c 5.7660
_cell_angle_alpha 114.32
_cell_angle_beta 101.26
_cell_angle_gamma 93.86
loop_
_atom_site_label
_atom_site_type_symbol
_atom_site_fract_x
_atom_site_fract_y
_atom_site_fract_z
K1 K 0.5000 0.0000 0.0000
Os1 Os 0.0000 0.0000 0.5000
Os2 Os 0.5000 0.5000 0.5000
Rh1 Rh 0.0000 0.5000 0.0000